No. 1
First-principles (PBE) data for an optimized crystal structure of Ac3Nb2N7, as listed in the Alexandria database.

Calculated values
* uncorrected formation energy: -11.587 eV/f.u.
* symmetry: No. 139
* electronic total energy: -8.53 eV per atom

a b c (Å): 11.119 11.119 11.119
angles (deg): 158.40 158.40 30.74
Element x y z (fractional)
Ac (0.000, 0.000, 0.000)
Ac (0.183, 0.183, 0.000)
Ac (0.817, 0.817, 0.000)
Nb (0.401, 0.401, 0.000)
Nb (0.599, 0.599, 0.000)
N (0.095, 0.595, 0.500)
N (0.303, 0.303, 0.000)
N (0.405, 0.905, 0.500)
N (0.500, 0.500, 0.000)
N (0.595, 0.095, 0.500)
N (0.697, 0.697, 0.000)
N (0.905, 0.405, 0.500)

No. 2
First-principles (PBE) data for an optimized crystal structure of Sm2ThBi, as listed in the Alexandria database.

Calculated values
* relative energy among the computed polymorphs: 0.0 meV/atom
* symmetry: No. 123
* electronic total energy: -5.56 eV per atom
* formation energy: -372 meV/atom

a b c (Å): 4.033 4.033 7.621
angles (deg): 90.00 90.00 90.00
Element x y z (fractional)
Sm (0.000, 0.000, 0.225)
Sm (0.000, 0.000, 0.775)
Th (0.500, 0.500, 0.500)
Bi (0.500, 0.500, 0.000)

No. 3
First-principles (PBE) data for an optimized crystal structure of CeMg2Al, as listed in the Alexandria database.

Calculated values
* symmetry: No. 225
* electronic total energy: -3.27 eV per atom
* formation energy: -49 meV/atom

a b c (Å): 7.100 7.100 7.100
angles (deg): 90.00 90.00 90.00
Element x y z (fractional)
Ce (0.000, 0.000, 0.000)
Ce (0.000, 0.500, 0.500)
Ce (0.500, 0.000, 0.500)
Ce (0.500, 0.500, 0.000)
Mg (0.250, 0.250, 0.250)
Mg (0.250, 0.250, 0.750)
Mg (0.250, 0.750, 0.250)
Mg (0.250, 0.750, 0.750)
Mg (0.750, 0.250, 0.250)
Mg (0.750, 0.250, 0.750)
Mg (0.750, 0.750, 0.250)
Mg (0.750, 0.750, 0.750)
Al (0.000, 0.000, 0.500)
Al (0.000, 0.500, 0.000)
Al (0.500, 0.000, 0.000)
Al (0.500, 0.500, 0.500)